## Cd3TeC (GGA-PBE)

Data for a relaxed structure of Cd3TeC.

a = 5.8966 Å, b = 5.8966 Å, c = 5.8966 Å
α = 90.00°, β = 90.00°, γ = 90.00°
Closest atoms and distances in Å follow each position.
Atoms (fractional coordinates):
1 Cd 0.0000 0.0000 0.5000  2 Te 2.95
2 Cd 0.0000 0.5000 0.0000  2 Te 2.95
3 Cd 0.5000 0.0000 0.0000  2 Te 2.95
4 Te 0.0000 0.0000 0.0000  6 Cd 2.95
5 C 0.5000 0.5000 0.5000  12 Cd 4.17

VASP energy: -0.1018 Ry per atom
M_tot: 2.6 μB per cell
DOS at the Fermi energy: 2.9 states/eV/cell
Raw formation energy: 1638 meV per atom

=====

## Cd3TeC (GGA-PBE)

Data for a relaxed structure of Cd3TeC.

a = 4.7366 Å, b = 4.7366 Å, c = 4.7366 Å
α = 90.00°, β = 90.00°, γ = 90.00°
Closest atoms and distances in Å follow each position.
Atoms (fractional coordinates):
1 Cd 0.0000 0.0000 0.5000  2 C 2.37
2 Cd 0.0000 0.5000 0.0000  2 C 2.37
3 Cd 0.5000 0.0000 0.0000  2 C 2.37
4 Te 0.5000 0.5000 0.5000  12 Cd 3.35
5 C 0.0000 0.0000 0.0000  6 Cd 2.37

VASP energy: -0.1853 Ry per atom
M_tot: 0.0 μB per cell
DOS at the Fermi energy: 0.0 states/eV/cell
Raw formation energy: 502 meV per atom

=====

## CdTe3C (GGA-PBE)

Data for a relaxed structure of CdTe3C.

a = 5.5929 Å, b = 5.5929 Å, c = 5.5929 Å
α = 90.00°, β = 90.00°, γ = 90.00°
Closest atoms and distances in Å follow each position.
Atoms (fractional coordinates):
1 Cd 0.0000 0.0000 0.0000  6 Te 2.80
2 Te 0.0000 0.0000 0.5000  2 Cd 2.80
3 Te 0.0000 0.5000 0.0000  2 Cd 2.80
4 Te 0.5000 0.0000 0.0000  2 Cd 2.80
5 C 0.5000 0.5000 0.5000  12 Te 3.95

VASP energy: -0.1475 Ry per atom
M_tot: 0.9 μB per cell
DOS at the Fermi energy: 8.5 states/eV/cell
Raw formation energy: 1906 meV per atom

=====

## Tl2CdTeC (GGA-PBE)

Data for a relaxed structure of Tl2CdTeC.

a = 6.6807 Å, b = 6.6807 Å, c = 5.5672 Å
α = 90.00°, β = 90.00°, γ = 90.00°
Closest atoms and distances in Å follow each position.
Atoms (fractional coordinates):
1 Tl 0.0000 0.5000 0.0000  2 Te 3.34
2 Tl 0.5000 0.0000 0.0000  2 Te 3.34
3 Cd 0.0000 0.0000 0.5000  2 Te 2.78
4 Te 0.0000 0.0000 0.0000  2 Cd 2.78
5 C 0.5000 0.5000 0.5000  8 Tl 4.35, 4 Cd 4.72

VASP energy: -0.1560 Ry per atom
M_tot: 2.8 μB per cell
DOS at the Fermi energy: 1.7 states/eV/cell
Raw formation energy: 1480 meV per atom

=====

## TlCdTeC2 (GGA-PBE)

Data for a relaxed structure of TlCdTeC2.

a = 4.3345 Å, b = 4.3345 Å, c = 6.0624 Å
α = 90.00°, β = 90.00°, γ = 90.00°
Closest atoms and distances in Å follow each position.
Atoms (fractional coordinates):
1 Tl 0.0000 0.0000 0.0000  4 Cd 3.06
2 Cd 0.5000 0.5000 0.0000  2 Te 3.03, 4 Tl 3.06
3 Te 0.5000 0.5000 0.5000  4 C 2.17
4 C 0.0000 0.5000 0.5000  2 Te 2.17
5 C 0.5000 0.0000 0.5000  2 Te 2.17

VASP energy: -0.2159 Ry per atom
M_tot: 0.0 μB per cell
DOS at the Fermi energy: 3.0 states/eV/cell
Raw formation energy: 2037 meV per atom

=====

## Th4Cd2C (GGA-PBE)

Data for a relaxed structure of Th4Cd2C.

a = 5.0772 Å, b = 5.0772 Å, c = 15.7216 Å
α = 90.00°, β = 90.00°, γ = 90.00°
Closest atoms and distances in Å follow each position.
Atoms (fractional coordinates):
1 Th 0.0000 0.0000 0.1587  1 C 2.49
2 Th 0.0000 0.0000 0.8413  1 C 2.49
3 Th 0.0000 0.5000 0.0000  2 C 2.54
4 Th 0.0000 0.5000 0.5000  2 C 2.54
5 Th 0.5000 0.0000 0.0000  2 C 2.54
6 Th 0.5000 0.0000 0.5000  2 C 2.54
7 Th 0.5000 0.5000 0.3413  1 C 2.49
8 Th 0.5000 0.5000 0.6587  1 C 2.49
9 Cd 0.0000 0.0000 0.3632  5 Th 3.22-3.33
10 Cd 0.0000 0.0000 0.6368  5 Th 3.22-3.33
11 Cd 0.5000 0.5000 0.1368  5 Th 3.22-3.33
12 Cd 0.5000 0.5000 0.8632  5 Th 3.22-3.33
13 C 0.0000 0.0000 0.0000  6 Th 2.49-2.54
14 C 0.5000 0.5000 0.5000  6 Th 2.49-2.54

VASP energy: -0.4307 Ry per atom
Energy of formation from the pure elements: -0.282 eV/f.u.
M_tot: 0.0 μB per cell
DOS at the Fermi energy: 11.8 states/eV/cell

=====

## ThCdC (GGA-PBE)

Data for a relaxed structure of ThCdC.

a = 3.7480 Å, b = 3.7480 Å, c = 19.7375 Å
α = 90.00°, β = 90.00°, γ = 90.00°
Closest atoms and distances in Å follow each position.
Atoms (fractional coordinates):
1 Th 0.0000 0.0000 0.1847  5 C 2.38-2.66
2 Th 0.0000 0.0000 0.8153  5 C 2.38-2.66
3 Th 0.5000 0.5000 0.3153  5 C 2.38-2.66
4 Th 0.5000 0.5000 0.6847  5 C 2.38-2.66
5 Cd 0.0000 0.0000 0.4312  1 C 2.48, 1 Cd 2.71
6 Cd 0.0000 0.0000 0.5688  1 C 2.48, 1 Cd 2.71
7 Cd 0.5000 0.5000 0.0688  1 C 2.48, 1 Cd 2.71
8 Cd 0.5000 0.5000 0.9312  1 C 2.48, 1 Cd 2.71
9 C 0.0000 0.0000 0.3054  5 Th 2.38-2.66, 1 Cd 2.48
10 C 0.0000 0.0000 0.6946  5 Th 2.38-2.66, 1 Cd 2.48
11 C 0.5000 0.5000 0.1946  5 Th 2.38-2.66, 1 Cd 2.48
12 C 0.5000 0.5000 0.8054  5 Th 2.38-2.66, 1 Cd 2.48

VASP energy: -0.4325 Ry per atom
Energy of formation from the pure elements: -0.094 eV/f.u.
M_tot: 0.0 μB per cell
DOS at the Fermi energy: 6.1 states/eV/cell

=====

## Th6CdC (GGA-PBE)

Data for a relaxed structure of Th6CdC.

a = 6.2078 Å, b = 6.2078 Å, c = 6.2078 Å
α = 100.24°, β = 100.24°, γ = 100.24°
Closest atoms and distances in Å follow each position.
Atoms (fractional coordinates):
1 Th 0.0715 0.7803 0.6482  1 C 2.52
2 Th 0.2197 0.3518 0.9285  1 C 2.52
3 Th 0.3518 0.9285 0.2197  1 C 2.52
4 Th 0.6482 0.0715 0.7803  1 C 2.52
5 Th 0.7803 0.6482 0.0715  1 C 2.52
6 Th 0.9285 0.2197 0.3518  1 C 2.52
7 Cd 0.5000 0.5000 0.5000  12 Th 3.54-3.59
8 C 0.0000 0.0000 0.0000  6 Th 2.52

VASP energy: -0.5077 Ry per atom
Energy of formation from the pure elements: -0.605 eV/f.u.
M_tot: 0.0 μB per cell
DOS at the Fermi energy: 10.6 states/eV/cell

=====

## Th4CdC (GGA-PBE)

Data for a relaxed structure of Th4CdC.

a = 8.3939 Å, b = 8.3939 Å, c = 6.1764 Å
α = 102.83°, β = 102.83°, γ = 118.68°
Closest atoms and distances in Å follow each position.
Atoms (fractional coordinates):
1 Th 0.0680 0.6690 0.8807  1 C 2.53
2 Th 0.1511 0.2582 0.6874  2 C 2.51-2.61
3 Th 0.2582 0.1511 0.1874  2 C 2.51-2.61
4 Th 0.3310 0.9320 0.6193  1 C 2.53
5 Th 0.6690 0.0680 0.3807  1 C 2.53
6 Th 0.7418 0.8489 0.8126  2 C 2.51-2.61
7 Th 0.8489 0.7418 0.3126  2 C 2.51-2.61
8 Th 0.9320 0.3310 0.1193  1 C 2.53
9 Cd 0.3912 0.6088 0.2500  8 Th 3.18-3.45
10 Cd 0.6088 0.3912 0.7500  8 Th 3.18-3.45
11 C 0.0669 0.9331 0.7500  6 Th 2.51-2.61
12 C 0.9331 0.0669 0.2500  6 Th 2.51-2.61

VASP energy: -0.4892 Ry per atom
Energy of formation from the pure elements: -0.114 eV/f.u.
M_tot: 0.0 μB per cell
DOS at the Fermi energy: 13.2 states/eV/cell

=====

## Th3Cd2C (GGA-PBE)

Data for a relaxed structure of Th3Cd2C.

a = 5.1225 Å, b = 16.5025 Å, c = 3.6611 Å
α = 90.00°, β = 90.00°, γ = 90.00°
Closest atoms and distances in Å follow each position.
Atoms (fractional coordinates):
1 Th 0.0000 0.0000 0.0000  2 C 2.56
2 Th 0.0000 0.3914 0.5000  2 C 2.56
3 Th 0.0000 0.6086 0.5000  2 C 2.56
4 Th 0.5000 0.1086 0.5000  2 C 2.56
5 Th 0.5000 0.5000 0.0000  2 C 2.56
6 Th 0.5000 0.8914 0.5000  2 C 2.56
7 Cd 0.0000 0.2017 0.0000  2 Cd 3.02, 1 Th 3.33
8 Cd 0.0000 0.7983 0.0000  2 Cd 3.02, 1 Th 3.33
9 Cd 0.5000 0.2983 0.0000  2 Cd 3.02, 1 Th 3.33
10 Cd 0.5000 0.7017 0.0000  2 Cd 3.02, 1 Th 3.33
11 C 0.0000 0.5000 0.0000  6 Th 2.56
12 C 0.5000 0.0000 0.0000  6 Th 2.56

VASP energy: -0.4254 Ry per atom
Energy of formation from the pure elements: -1.410 eV/f.u.
M_tot: 0.0 μB per cell
DOS at the Fermi energy: 10.2 states/eV/cell

=====

## TmTh2CdC (GGA-PBE)

Data for a relaxed structure of TmTh2CdC.

a = 5.0874 Å, b = 5.0874 Å, c = 4.8843 Å
α = 90.00°, β = 90.00°, γ = 90.00°
Closest atoms and distances in Å follow each position.
Atoms (fractional coordinates):
1 Tm 0.0000 0.0000 0.0000  2 C 2.44
2 Th 0.0000 0.5000 0.5000  2 C 2.54
3 Th 0.5000 0.0000 0.5000  2 C 2.54
4 Cd 0.5000 0.5000 0.0000  8 Th 3.53, 4 Tm 3.60
5 C 0.0000 0.0000 0.5000  2 Tm 2.44, 4 Th 2.54

VASP energy: -0.4511 Ry per atom
Energy of formation from the pure elements: -1.236 eV/f.u.
M_tot: 0.0 μB per cell
DOS at the Fermi energy: 3.2 states/eV/cell

=====

## YThCdC (GGA-PBE)

Data for a relaxed structure of YThCdC.

a = 3.6159 Å, b = 3.6159 Å, c = 25.2056 Å
α = 90.00°, β = 90.00°, γ = 120.00°
Closest atoms and distances in Å follow each position.
Atoms (fractional coordinates):
1 Y 0.0000 0.0000 0.0000  3 C 2.50
2 Y 0.3333 0.6667 0.6667  3 C 2.50
3 Y 0.6667 0.3333 0.3333  3 C 2.50
4 Th 0.0000 0.0000 0.2220  3 C 2.53
5 Th 0.3333 0.6667 0.8887  3 C 2.53
6 Th 0.6667 0.3333 0.5553  3 C 2.53
7 Cd 0.0000 0.0000 0.7728  3 Y 3.39, 3 Th 3.59, 6 Cd 3.62
8 Cd 0.3333 0.6667 0.4395  3 Y 3.39, 3 Th 3.59, 6 Cd 3.62
9 Cd 0.6667 0.3333 0.1061  3 Y 3.39, 3 Th 3.59, 6 Cd 3.62
10 C 0.0000 0.0000 0.6120  3 Y 2.50, 3 Th 2.53
11 C 0.3333 0.6667 0.2787  3 Y 2.50, 3 Th 2.53
12 C 0.6667 0.3333 0.9453  3 Y 2.50, 3 Th 2.53

VASP energy: -0.4612 Ry per atom
Energy of formation from the pure elements: -1.079 eV/f.u.
M_tot: 0.0 μB per cell
DOS at the Fermi energy: 11.8 states/eV/cell

=====

Number 1: calculated volume 41.0 Å³/atom. Number 2: calculated volume 21.3 Å³/atom. Number 3: calculated volume 35.0 Å³/atom. Number 4: calculated volume 49.7 Å³/atom. Number 5: calculated volume 22.8 Å³/atom. Number 6: calculated volume 28.9 Å³/atom. Number 7: calculated volume 23.1 Å³/atom. Number 8: calculated volume 28.3 Å³/atom. Number 9: calculated volume 28.6 Å³/atom. Number 10: calculated volume 25.8 Å³/atom. Number 11: calculated volume 25.3 Å³/atom. Number 12: calculated volume 23.8 Å³/atom.